a | A relaxed structure of CeEr2Tc. Source: the Alexandria database, functional GGA-PBE.

Summary:
- Magnetic moment: 0.000 μB per atom
- V: 26.6 A^3/atom
- N(E_F): 20.7 states/eV per cell
- Symmetry: Cmcm (63)

a = 3.8226 Å, b = 11.7709 Å, c = 9.4452 Å
α = 90.00°, β = 90.00°, γ = 90.00°
With the nearest neighbours (Å) after each atom.
Atoms (fractional coordinates):
Ce: 0.0000 0.0831 0.2500  2 Tc 2.52
Ce: 0.0000 0.9169 0.7500  2 Tc 2.52
Ce: 0.5000 0.4169 0.7500  2 Tc 2.52
Ce: 0.5000 0.5831 0.2500  2 Tc 2.52
Er: 0.0000 0.3566 0.0715  3 Tc 3.00-3.18
Er: 0.0000 0.3566 0.4285  3 Tc 3.00-3.18
Er: 0.0000 0.6434 0.5715  3 Tc 3.00-3.18
Er: 0.0000 0.6434 0.9285  3 Tc 3.00-3.18
Er: 0.5000 0.1434 0.5715  3 Tc 3.00-3.18
Er: 0.5000 0.1434 0.9285  3 Tc 3.00-3.18
Er: 0.5000 0.8566 0.0715  3 Tc 3.00-3.18
Er: 0.5000 0.8566 0.4285  3 Tc 3.00-3.18
Tc: 0.0000 0.2773 0.7500  2 Ce 2.52
Tc: 0.0000 0.7227 0.2500  2 Ce 2.52
Tc: 0.5000 0.2227 0.2500  2 Ce 2.52
Tc: 0.5000 0.7773 0.7500  2 Ce 2.52

=====

b | A relaxed structure of CeEr2Tc. Source: the Alexandria database, functional GGA-PBE.

Summary:
- Magnetic moment: 0.009 μB per atom
- V: 23.3 A^3/atom
- N(E_F): 22.0 states/eV per cell
- Symmetry: R-3m (166)

a = 5.0832 Å, b = 5.0832 Å, c = 12.4732 Å
α = 90.00°, β = 90.00°, γ = 120.00°
With the nearest neighbours (Å) after each atom.
Atoms (fractional coordinates):
Ce: 0.0000 0.0000 0.0000  8 Er 3.11-3.12
Ce: 0.3333 0.6667 0.6667  8 Er 3.11-3.12
Ce: 0.6667 0.3333 0.3333  8 Er 3.11-3.12
Er: 0.0000 0.0000 0.2498  4 Tc 3.11-3.12, 4 Ce 3.11-3.12
Er: 0.0000 0.0000 0.7502  4 Tc 3.11-3.12, 4 Ce 3.11-3.12
Er: 0.3333 0.6667 0.4169  4 Tc 3.11-3.12, 4 Ce 3.11-3.12
Er: 0.3333 0.6667 0.9165  4 Tc 3.11-3.12, 4 Ce 3.11-3.12
Er: 0.6667 0.3333 0.0835  4 Tc 3.11-3.12, 4 Ce 3.11-3.12
Er: 0.6667 0.3333 0.5831  4 Tc 3.11-3.12, 4 Ce 3.11-3.12
Tc: 0.0000 0.0000 0.5000  8 Er 3.11-3.12
Tc: 0.3333 0.6667 0.1667  8 Er 3.11-3.12
Tc: 0.6667 0.3333 0.8333  8 Er 3.11-3.12

=====

Which one sits at the top of the stability order? a does.